No. 1
Density functional theory data (PBE) for a relaxed structure of TaBe4Cd.

Formation energy from the elements: 0.2269 eV per atom
M_tot: 0.000 μB/cell

Lattice parameters (Å, degrees): 4.651 4.651 4.651 60.00 60.00 60.00
Positions (direct):
Ta1 0.000 0.000 0.000
Be1 0.893 0.369 0.369
Be2 0.369 0.369 0.893
Be3 0.369 0.893 0.369
Be4 0.369 0.369 0.369
Cd1 0.750 0.750 0.750

***

No. 2
Density functional theory data (PBE) for a relaxed structure of TaBeCd.

Formation energy from the elements: 0.6178 eV per atom
Energy above the most stable polymorph in this dataset: 426 meV/atom
M_tot: 0.000 μB/cell

Lattice parameters (Å, degrees): 4.142 4.142 4.142 60.00 60.00 60.00
Positions (direct):
Be1 0.250 0.250 0.250
Cd1 0.000 0.000 0.000
Ta1 0.500 0.500 0.500